This record from the Alexandria database describes a relaxed structure of Li2MnV4FeO12. The functional is PBE+U.

Its total energy is -288.5 eV/cell.

It has space group C2 (No. 5), with a = 10.939 Å, b = 8.728 Å, c = 5.694 Å, α = 90.00°, β = 112.48° and γ = 90.00°. The inequivalent atoms are Li at (0.000, 0.000, 0.000), Li at (0.000, 0.446, 0.500), Mn at (0.000, 0.809, 0.500), V at (0.224, 0.113, 0.518), V at (0.224, 0.325, 0.047), Fe at (0.000, 0.641, 0.000), O at (0.100, 0.824, 0.905), O at (0.106, 0.620, 0.403), O at (0.118, 0.475, 0.927), O at (0.147, 0.160, 0.191), O at (0.167, 0.228, 0.703) and O at (0.189, 0.923, 0.570).